Entry from Alexandria via LeMat-Bulk: an optimized crystal structure of LiTi2In2 (PBE).

* volume: 21.30 A^3/atom
* E_form: 0.00 eV per atom
* DOS(E_F): 7.4 states/eV per cell
* energy: -4.63 eV per atom
* magnetic moment: 1.8 μB per formula unit

Cell and atoms, written as CIF:
```
data_LiTi2In2
_chemical_formula_sum 'Li2 Ti4 In4'
_cell_length_a 8.432
_cell_length_b 8.432
_cell_length_c 2.996
_cell_angle_alpha 90.00
_cell_angle_beta 90.00
_cell_angle_gamma 90.00
_space_group_name_H-M_alt 'P 1'
_space_group_IT_number 1
loop_
_space_group_symop_operation_xyz
'x,y,z'
loop_
_atom_site_label
_atom_site_type_symbol
_atom_site_fract_x
_atom_site_fract_y
_atom_site_fract_z
Li1 Li 0.000 0.000 0.000
Li2 Li 0.500 0.500 0.000
Ti1 Ti 0.610 0.110 0.000
Ti2 Ti 0.890 0.610 0.000
Ti3 Ti 0.110 0.390 0.000
Ti4 Ti 0.390 0.890 0.000
In1 In 0.185 0.685 0.500
In2 In 0.815 0.315 0.500
In3 In 0.315 0.185 0.500
In4 In 0.685 0.815 0.500
```



Entry from Alexandria via LeMat-Bulk: an optimized crystal structure of Pu5TcGe5 (PBE).

* volume: 20.85 A^3/atom
* E_form: -0.19 eV per atom
* DOS(E_F): 31.2 states/eV per cell
* energy: -9.75 eV per atom
* magnetic moment: 4.1 μB per formula unit

Cell and atoms, written as CIF:
```
data_Pu5TcGe5
_chemical_formula_sum 'Pu5 Tc1 Ge5'
_cell_length_a 5.158
_cell_length_b 10.335
_cell_length_c 5.414
_cell_angle_alpha 123.60
_cell_angle_beta 90.00
_cell_angle_gamma 104.45
_space_group_name_H-M_alt 'P 1'
_space_group_IT_number 1
loop_
_space_group_symop_operation_xyz
'x,y,z'
loop_
_atom_site_label
_atom_site_type_symbol
_atom_site_fract_x
_atom_site_fract_y
_atom_site_fract_z
Pu1 Pu 0.373 0.746 0.370
Pu2 Pu 0.000 0.000 0.500
Pu3 Pu 0.627 0.254 0.630
Pu4 Pu 0.325 0.649 0.810
Pu5 Pu 0.675 0.351 0.190
Ge1 Ge 0.850 0.700 0.589
Ge2 Ge 0.194 0.387 0.978
Ge3 Ge 0.806 0.613 0.022
Ge4 Ge 0.150 0.300 0.411
Ge5 Ge 0.500 0.000 0.000
Tc1 Tc 0.000 0.000 0.000
```



Entry from Alexandria via LeMat-Bulk: an optimized crystal structure of Pr2DyN3 (PBE).

* volume: 16.87 A^3/atom
* DOS(E_F): 0.5 states/eV per cell
* energy: -7.91 eV per atom
* magnetic moment: 0.0 μB per formula unit

Cell and atoms, written as CIF:
```
data_Pr2DyN3
_chemical_formula_sum 'Pr2 Dy1 N3'
_cell_length_a 8.115
_cell_length_b 8.115
_cell_length_c 8.115
_cell_angle_alpha 154.18
_cell_angle_beta 154.18
_cell_angle_gamma 36.84
_space_group_name_H-M_alt 'P 1'
_space_group_IT_number 1
loop_
_space_group_symop_operation_xyz
'x,y,z'
loop_
_atom_site_label
_atom_site_type_symbol
_atom_site_fract_x
_atom_site_fract_y
_atom_site_fract_z
Dy1 Dy 0.000 0.000 0.000
Pr1 Pr 0.663 0.663 0.000
Pr2 Pr 0.337 0.337 0.000
N1 N 0.841 0.841 0.000
N2 N 0.500 0.500 0.000
N3 N 0.159 0.159 0.000
```



Entry from Alexandria via LeMat-Bulk: an optimized crystal structure of Be2PdAu (PBE).

* volume: 13.44 A^3/atom
* E_form: -0.16 eV per atom
* DOS(E_F): 1.2 states/eV per cell
* energy: -4.14 eV per atom
* magnetic moment: 0.0 μB per formula unit

Cell and atoms, written as CIF:
```
data_Be2PdAu
_chemical_formula_sum 'Be2 Pd1 Au1'
_cell_length_a 3.568
_cell_length_b 3.568
_cell_length_c 5.292
_cell_angle_alpha 70.30
_cell_angle_beta 70.30
_cell_angle_gamma 60.00
_space_group_name_H-M_alt 'P 1'
_space_group_IT_number 1
loop_
_space_group_symop_operation_xyz
'x,y,z'
loop_
_atom_site_label
_atom_site_type_symbol
_atom_site_fract_x
_atom_site_fract_y
_atom_site_fract_z
Pd1 Pd 0.680 0.680 0.961
Be1 Be 0.253 0.253 0.241
Be2 Be 0.075 0.075 0.775
Au1 Au 0.492 0.492 0.523
```



Entry from Alexandria via LeMat-Bulk: an optimized crystal structure of FeAs4 (PBE).

* volume: 18.62 A^3/atom
* E_form: -0.09 eV per atom
* DOS(E_F): 1.1 states/eV per cell
* energy: -5.51 eV per atom
* magnetic moment: 0.0 μB per formula unit

Cell and atoms, written as CIF:
```
data_FeAs4
_chemical_formula_sum 'Fe2 As8'
_cell_length_a 5.522
_cell_length_b 6.533
_cell_length_c 6.247
_cell_angle_alpha 80.09
_cell_angle_beta 63.77
_cell_angle_gamma 67.08
_space_group_name_H-M_alt 'P 1'
_space_group_IT_number 1
loop_
_space_group_symop_operation_xyz
'x,y,z'
loop_
_atom_site_label
_atom_site_type_symbol
_atom_site_fract_x
_atom_site_fract_y
_atom_site_fract_z
Fe1 Fe 0.081 0.250 0.838
Fe2 Fe 0.919 0.750 0.162
As1 As 0.966 0.190 0.541
As2 As 0.818 0.650 0.872
As3 As 0.310 0.850 0.872
As4 As 0.508 0.690 0.459
As5 As 0.492 0.310 0.541
As6 As 0.182 0.350 0.128
As7 As 0.034 0.810 0.459
As8 As 0.690 0.150 0.128
```



Entry from Alexandria via LeMat-Bulk: an optimized crystal structure of LiUAlTc (PBE).

* volume: 17.05 A^3/atom
* E_form: 0.07 eV per atom
* DOS(E_F): 9.2 states/eV per cell
* energy: -6.75 eV per atom
* magnetic moment: 1.9 μB per formula unit

Cell and atoms, written as CIF:
```
data_LiUAlTc
_chemical_formula_sum 'Li1 U1 Al1 Tc1'
_cell_length_a 4.586
_cell_length_b 4.586
_cell_length_c 4.586
_cell_angle_alpha 60.00
_cell_angle_beta 60.00
_cell_angle_gamma 60.00
_space_group_name_H-M_alt 'P 1'
_space_group_IT_number 1
loop_
_space_group_symop_operation_xyz
'x,y,z'
loop_
_atom_site_label
_atom_site_type_symbol
_atom_site_fract_x
_atom_site_fract_y
_atom_site_fract_z
U1 U 0.500 0.500 0.500
Li1 Li 0.750 0.750 0.750
Al1 Al 0.000 0.000 0.000
Tc1 Tc 0.250 0.250 0.250
```



Entry from Alexandria via LeMat-Bulk: an optimized crystal structure of ErTmLu (PBE).

* volume: 29.82 A^3/atom
* E_form: 0.08 eV per atom
* DOS(E_F): 6.1 states/eV per cell
* energy: -4.44 eV per atom
* magnetic moment: 0.0 μB per formula unit

Cell and atoms, written as CIF:
```
data_ErTmLu
_chemical_formula_sum 'Er1 Tm1 Lu1'
_cell_length_a 3.436
_cell_length_b 5.483
_cell_length_c 5.483
_cell_angle_alpha 120.00
_cell_angle_beta 90.00
_cell_angle_gamma 90.00
_space_group_name_H-M_alt 'P 1'
_space_group_IT_number 1
loop_
_space_group_symop_operation_xyz
'x,y,z'
loop_
_atom_site_label
_atom_site_type_symbol
_atom_site_fract_x
_atom_site_fract_y
_atom_site_fract_z
Lu1 Lu 0.166 0.000 0.000
Tm1 Tm 0.667 0.667 0.333
Er1 Er 0.167 0.333 0.667
```



Entry from Alexandria via LeMat-Bulk: an optimized crystal structure of Pm4Tl5Cd2 (PBE).

* volume: 28.88 A^3/atom
* E_form: -0.30 eV per atom
* DOS(E_F): 8.6 states/eV per cell
* energy: -3.27 eV per atom
* magnetic moment: 0.0 μB per formula unit

Cell and atoms, written as CIF:
```
data_Pm4Tl5Cd2
_chemical_formula_sum 'Pm4 Tl5 Cd2'
_cell_length_a 3.739
_cell_length_b 8.577
_cell_length_c 9.910
_cell_angle_alpha 88.86
_cell_angle_beta 90.00
_cell_angle_gamma 90.00
_space_group_name_H-M_alt 'P 1'
_space_group_IT_number 1
loop_
_space_group_symop_operation_xyz
'x,y,z'
loop_
_atom_site_label
_atom_site_type_symbol
_atom_site_fract_x
_atom_site_fract_y
_atom_site_fract_z
Tl1 Tl 0.000 0.884 0.874
Tl2 Tl 0.000 0.500 0.000
Tl3 Tl 0.000 0.116 0.126
Tl4 Tl 0.000 0.430 0.647
Tl5 Tl 0.000 0.570 0.353
Cd1 Cd 0.000 0.918 0.380
Cd2 Cd 0.000 0.082 0.620
Pm1 Pm 0.500 0.255 0.373
Pm2 Pm 0.500 0.223 0.866
Pm3 Pm 0.500 0.745 0.627
Pm4 Pm 0.500 0.777 0.134
```



Entry from Alexandria via LeMat-Bulk: an optimized crystal structure of CaY2Sb (PBE).

* volume: 36.06 A^3/atom
* DOS(E_F): 5.5 states/eV per cell
* energy: -5.14 eV per atom
* magnetic moment: 0.0 μB per formula unit

Cell and atoms, written as CIF:
```
data_CaY2Sb
_chemical_formula_sum 'Ca1 Y2 Sb1'
_cell_length_a 10.207
_cell_length_b 10.207
_cell_length_c 10.207
_cell_angle_alpha 23.15
_cell_angle_beta 23.15
_cell_angle_gamma 23.15
_space_group_name_H-M_alt 'P 1'
_space_group_IT_number 1
loop_
_space_group_symop_operation_xyz
'x,y,z'
loop_
_atom_site_label
_atom_site_type_symbol
_atom_site_fract_x
_atom_site_fract_y
_atom_site_fract_z
Y1 Y 0.021 0.021 0.021
Y2 Y 0.479 0.479 0.479
Ca1 Ca 0.250 0.250 0.250
Sb1 Sb 0.750 0.750 0.750
```



Entry from Alexandria via LeMat-Bulk: an optimized crystal structure of KCuRhCl6 (PBE).

* volume: 26.86 A^3/atom
* DOS(E_F): 6.0 states/eV per cell
* energy: -3.48 eV per atom
* magnetic moment: 1.1 μB per formula unit

Cell and atoms, written as CIF:
```
data_KCuRhCl6
_chemical_formula_sum 'K1 Cu1 Rh1 Cl6'
_cell_length_a 6.300
_cell_length_b 6.301
_cell_length_c 7.033
_cell_angle_alpha 90.01
_cell_angle_beta 90.00
_cell_angle_gamma 59.99
_space_group_name_H-M_alt 'P 1'
_space_group_IT_number 1
loop_
_space_group_symop_operation_xyz
'x,y,z'
loop_
_atom_site_label
_atom_site_type_symbol
_atom_site_fract_x
_atom_site_fract_y
_atom_site_fract_z
Cl1 Cl 0.360 0.012 0.690
Cl2 Cl 0.628 0.012 0.310
Cl3 Cl 0.360 0.628 0.310
Cl4 Cl 0.012 0.628 0.690
Cl5 Cl 0.012 0.360 0.310
Cl6 Cl 0.628 0.360 0.690
Rh1 Rh 0.333 0.333 0.500
K1 K 0.000 0.000 0.000
Cu1 Cu 0.667 0.667 0.500
```